<one>
DFT (PBE-GGA) results for a relaxed MnNi2Ag crystal.

For the size of the total moment, the calculation gives 4.58 μB per formula unit.

The structure belongs to space group R-3m (No. 166, hexagonal axes); the cell edges are 2.7141, 2.7141 and 25.3405 Å and the angles 90.00°, 90.00° and 120.00°. The inequivalent atoms are Mn at (0.0000, 0.0000, 0.0000), Ni at (0.0000, 0.0000, 0.2569) and Ag at (0.0000, 0.0000, 0.5000).

---

<two>
DFT (PBE-GGA) results for a relaxed MnNi2Ag crystal.

For the size of the total moment, the calculation gives 4.12 μB per formula unit.

The structure belongs to space group I-42d (No. 122); the cell edges are 6.6776, 6.6776 and 5.1830 Å and the angles 90.00°, 90.00° and 90.00°. The inequivalent atoms are Mn at (0.0000, 0.0000, 0.0000), Ni at (0.2272, 0.2500, 0.1250) and Ag at (0.0000, 0.0000, 0.5000).

---

<three>
DFT (PBE-GGA) results for a relaxed MnNi2Ag crystal.

For the size of the total moment, the calculation gives 4.78 μB per formula unit.

The structure belongs to space group C2/m (No. 12); the cell edges are 8.5687, 2.7301 and 4.7034 Å and the angles 90.00°, 101.62° and 90.00°. The inequivalent atoms are Mn at (0.0000, 0.0000, 0.0000), Ni at (0.2426, 0.5000, 0.2285) and Ag at (0.0000, 0.5000, 0.5000).

---

Least stable structure: <two>